[1]
CaLa2PtN: optimized geometry, GGA-PBE.

a b c (Å): 5.0342 5.0342 4.6834
angles (deg): 90.00 90.00 90.00
Positions (direct):
1 Ca 0.0000 0.0000 0.0000
2 La 0.0000 0.5000 0.5000
3 La 0.5000 0.0000 0.5000
4 Pt 0.5000 0.5000 0.0000
5 N 0.0000 0.0000 0.5000

Results
The volume comes out at 118.7 Å³ per cell. The uncorrected formation energy is -0.87 eV per atom. The space-group type is P4/mmm (123).

[2]
Ca2La3PuN6: optimized geometry, GGA-PBE.

a b c (Å): 6.2427 6.2427 6.2771
angles (deg): 99.74 99.74 119.41
Positions (direct):
1 Ca 0.1653 0.8347 0.0000
2 Ca 0.8347 0.1653 0.0000
3 La 0.0000 0.0000 0.5000
4 La 0.3347 0.6653 0.5000
5 La 0.6653 0.3347 0.5000
6 Pu 0.5000 0.5000 0.0000
7 N 0.1381 0.4278 0.7741
8 N 0.2751 0.2751 0.2542
9 N 0.4278 0.1381 0.7741
10 N 0.5722 0.8619 0.2259
11 N 0.7249 0.7249 0.7458
12 N 0.8619 0.5722 0.2259

Results
The volume comes out at 200.8 Å³ per cell. The uncorrected formation energy is -1.19 eV per atom. The space-group type is C2/m (12).

[3]
Ca3LaPu2N6: optimized geometry, GGA-PBE.

a b c (Å): 7.8871 7.8871 7.0661
angles (deg): 102.09 102.09 26.03
Positions (direct):
1 Ca 0.0000 0.0000 0.0000
2 Ca 0.3298 0.3298 0.6672
3 Ca 0.6702 0.6702 0.3328
4 La 0.0000 0.0000 0.5000
5 Pu 0.3320 0.3320 0.1640
6 Pu 0.6680 0.6680 0.8360
7 N 0.1685 0.1685 0.6167
8 N 0.1792 0.1792 0.0699
9 N 0.4793 0.4793 0.2365
10 N 0.5207 0.5207 0.7635
11 N 0.8208 0.8208 0.9301
12 N 0.8315 0.8315 0.3833

Results
The volume comes out at 188.4 Å³ per cell. The uncorrected formation energy is -1.16 eV per atom. The space-group type is C2/m (12).

[4]
CaLa2PuN4: optimized geometry, GGA-PBE.

a b c (Å): 6.1732 3.6556 6.2374
angles (deg): 90.00 108.84 90.00
Positions (direct):
1 Ca 0.0000 0.0000 0.0000
2 La 0.0000 0.5000 0.5000
3 La 0.5000 0.0000 0.5000
4 Pu 0.5000 0.5000 0.0000
5 N 0.2600 0.0000 0.7608
6 N 0.2836 0.5000 0.2207
7 N 0.7164 0.5000 0.7793
8 N 0.7400 0.0000 0.2392

Results
The volume comes out at 133.2 Å³ per cell. The uncorrected formation energy is -1.19 eV per atom. The space-group type is P2/m (10).

[5]
Ca2LaRhN: optimized geometry, GGA-PBE.

a b c (Å): 4.7211 4.7211 5.0589
angles (deg): 90.00 90.00 90.00
Positions (direct):
1 Ca 0.0000 0.5000 0.0000
2 Ca 0.5000 0.0000 0.0000
3 La 0.0000 0.0000 0.5000
4 Rh 0.5000 0.5000 0.5000
5 N 0.0000 0.0000 0.0000

Results
The volume comes out at 112.8 Å³ per cell. The uncorrected formation energy is -0.61 eV per atom. The space-group type is P4/mmm (123).

[6]
Ca2La4Sb3N2: optimized geometry, GGA-PBE.

a b c (Å): 13.3783 13.3783 13.3783
angles (deg): 158.65 158.65 30.37
Positions (direct):
1 Ca 0.1965 0.1965 0.0000
2 Ca 0.8035 0.8035 0.0000
3 La 0.0883 0.5883 0.5000
4 La 0.4117 0.9117 0.5000
5 La 0.5883 0.0883 0.5000
6 La 0.9117 0.4117 0.5000
7 Sb 0.3210 0.3210 0.0000
8 Sb 0.5000 0.5000 0.0000
9 Sb 0.6790 0.6790 0.0000
10 N 0.1041 0.1041 0.0000
11 N 0.8959 0.8959 0.0000

Results
The volume comes out at 317.2 Å³ per cell. The uncorrected formation energy is -1.17 eV per atom. The space-group type is I4/mmm (139).

[7]
Ca2La3Sb3N2: optimized geometry, GGA-PBE.

a b c (Å): 12.9803 12.9803 12.9803
angles (deg): 159.09 159.09 29.73
Positions (direct):
1 Ca 0.2500 0.7500 0.5000
2 Ca 0.7500 0.2500 0.5000
3 La 0.0000 0.0000 0.0000
4 La 0.3669 0.3669 0.0000
5 La 0.6331 0.6331 0.0000
6 Sb 0.1317 0.1317 0.0000
7 Sb 0.5000 0.5000 0.0000
8 Sb 0.8683 0.8683 0.0000
9 N 0.2813 0.2813 0.0000
10 N 0.7187 0.7187 0.0000

Results
The volume comes out at 278.3 Å³ per cell. The uncorrected formation energy is -1.06 eV per atom. The space-group type is I4/mmm (139).

[8]
CaLa2SbN: optimized geometry, GGA-PBE.

a b c (Å): 5.8656 5.8656 5.4338
angles (deg): 90.00 90.00 90.00
Positions (direct):
1 Ca 0.0000 0.0000 0.0000
2 La 0.0000 0.5000 0.0000
3 La 0.5000 0.0000 0.0000
4 Sb 0.0000 0.0000 0.5000
5 N 0.5000 0.5000 0.5000

Results
The offset from the most stable computed form is 2413 meV/atom. The volume comes out at 187.0 Å³ per cell. The uncorrected formation energy is 1.36 eV per atom. The space-group type is P4/mmm (123).

no.,size of the total moment (μB/cell)
1,0.00
2,3.00
3,7.00
4,3.93
5,0.00
6,0.00
7,0.00
8,1.89